Record 1
Material: Tl4Hg5Pb
Method: DFT, PBE-GGA
State: optimized geometry

It has space group P4/mmm (No. 123), with a = 3.994 Å, b = 3.994 Å, c = 18.059 Å, α = 90.00°, β = 90.00° and γ = 90.00°. Symmetry generates all atoms from Tl at (0.000, 0.000, 0.100), Tl at (0.000, 0.000, 0.301), Hg at (0.500, 0.500, 0.000), Hg at (0.500, 0.500, 0.198), Hg at (0.500, 0.500, 0.399) and Pb at (0.000, 0.000, 0.500).

The calculation puts the raw total energy at -14.72 eV per formula unit. For the energy above the lowest structure with this stoichiometry, the calculation gives 0 meV/atom. The theoretical density comes out at 11.7 Mg/m³. The value obtained for the formation energy is -0.004 eV per atom.

=====

Record 2
Material: Tl3HgPb2
Method: DFT, PBE-GGA
State: optimized geometry

It has space group P-1 (No. 2), with a = 5.591 Å, b = 6.494 Å, c = 10.962 Å, α = 89.94°, β = 89.83° and γ = 65.79°. Symmetry generates all atoms from Tl at (0.001, 0.000, 0.270), Tl at (0.329, 0.336, 0.750), Tl at (0.332, 0.336, 0.249), Hg at (0.176, 0.646, 0.500), Pb at (0.159, 0.677, 0.000), Pb at (0.500, 0.000, 0.000) and Pb at (0.500, 0.000, 0.500).

The calculation puts the raw total energy at -14.73 eV per formula unit. For the energy above the lowest structure with this stoichiometry, the calculation gives 0 meV/atom. The theoretical density comes out at 11.2 Mg/m³. The value obtained for the formation energy is 0.014 eV per atom.